DFT (GGA+U) results for a relaxed structure of KPuV2O8.

Summary:
SG: C2/m
Total moment, μB per formula unit: 3.0
D(E_F), states/eV per cell: 8.8
DFT total energy, eV/atom: -8.005

a b c (Å): 5.568 5.568 7.973
angles (deg): 90.80 90.80 64.29
Fractional coordinates of all 12 atoms:
K  0.000  0.000  0.000
Pu  0.000  0.000  0.500
V  0.359  0.359  0.719
V  0.641  0.641  0.281
O  0.211  0.712  0.688
O  0.216  0.216  0.572
O  0.288  0.789  0.312
O  0.300  0.300  0.912
O  0.700  0.700  0.088
O  0.712  0.211  0.688
O  0.784  0.784  0.428
O  0.789  0.288  0.312